Record 1
Density functional theory data (PBE-GGA) for a relaxed BaTa2Ag crystal.

Lattice parameters (Å, degrees): 6.2076 6.2076 5.5094 75.23 75.23 28.24
With the nearest neighbours (Å) after each atom.
Atoms (fractional coordinates):
Ta: 0.0310 0.0310 0.9298  4 Ta 2.75-3.03, 2 Ag 2.98
Ag: 0.7500 0.7500 0.7500  4 Ta 2.98, 2 Ag 3.03, 4 Ba 3.14
Ta: 0.4690 0.4690 0.5702  4 Ta 2.75-3.03, 2 Ag 2.98
Ba: 0.2500 0.2500 0.2500  2 Ba 3.03, 4 Ag 3.14

density: 10.4 g/cm³
total moment: 0.0 μB per formula unit
E_tot: -6.34 eV/atom
energy relative to the elements: 0.777 eV/atom
SG: C2/m
energy above the most stable polymorph in this dataset: 278 meV/atom

Record 2
Density functional theory data (PBE-GGA) for a relaxed BaTaAg crystal.

Lattice parameters (Å, degrees): 7.5111 4.8197 9.6319 90.00 90.00 90.00
With the nearest neighbours (Å) after each atom.
Atoms (fractional coordinates):
Ta: 0.9557 0.7500 0.5419  2 Ta 2.63, 1 Ag 2.75
Ag: 0.2788 0.7500 0.6751  2 Ta 2.75-3.03
Ba: 0.4112 0.7500 0.3437  5 Ag 3.24-3.36
Ag: 0.7788 0.7500 0.8249  2 Ta 2.75-3.03
Ta: 0.4557 0.7500 0.9581  2 Ta 2.63, 1 Ag 2.75
Ag: 0.2212 0.2500 0.1751  2 Ta 2.75-3.03
Ba: 0.0888 0.2500 0.8437  5 Ag 3.24-3.36
Ta: 0.5443 0.2500 0.0419  2 Ta 2.63, 1 Ag 2.75
Ta: 0.0443 0.2500 0.4581  2 Ta 2.63, 1 Ag 2.75
Ag: 0.7212 0.2500 0.3249  2 Ta 2.75-3.03
Ba: 0.5888 0.2500 0.6563  5 Ag 3.24-3.36
Ba: 0.9112 0.7500 0.1563  5 Ag 3.24-3.36

density: 8.1 g/cm³
total moment: 0.0 μB per formula unit
E_tot: -5.01 eV/atom
energy relative to the elements: 0.535 eV/atom
SG: Pnma
energy above the most stable polymorph in this dataset: 205 meV/atom

Record 3
Density functional theory data (PBE-GGA) for a relaxed BaTaAg2 crystal.

Lattice parameters (Å, degrees): 7.4116 5.5906 3.0562 90.05 65.56 123.35
With the nearest neighbours (Å) after each atom.
Atoms (fractional coordinates):
Ag: 0.0000 0.0000 0.0000  4 Ag 3.06-3.37, 4 Ta 3.18-3.19, 4 Ba 3.18-3.19
Ta: 0.5000 0.5000 0.0000  2 Ta 3.06, 8 Ag 3.18-3.19, 2 Ba 3.37
Ag: 0.5000 0.0000 0.5000  4 Ag 3.06-3.37, 4 Ba 3.18-3.19, 4 Ta 3.18-3.19
Ba: 0.0000 0.5000 0.5000  2 Ba 3.06, 8 Ag 3.18-3.19, 2 Ta 3.37

density: 9.6 g/cm³
total moment: 0.0 μB per formula unit
E_tot: -4.23 eV/atom
energy relative to the elements: 0.639 eV/atom
SG: Cmmm
energy above the most stable polymorph in this dataset: 213 meV/atom

Record 4
Density functional theory data (PBE-GGA) for a relaxed BaTaAg crystal.

Lattice parameters (Å, degrees): 5.4301 5.4301 5.4301 60.00 60.00 60.00
With the nearest neighbours (Å) after each atom.
Atoms (fractional coordinates):
Ta: 0.2500 0.2500 0.2500  4 Ba 3.33
Ba: 0.0000 0.0000 0.0000  4 Ag 3.33, 4 Ta 3.33
Ag: 0.7500 0.7500 0.7500  4 Ba 3.33

density: 6.3 g/cm³
total moment: 4.1 μB per formula unit
E_tot: -3.65 eV/atom
energy relative to the elements: 1.891 eV/atom
SG: F-43m
energy above the most stable polymorph in this dataset: 1561 meV/atom

Record 5
Density functional theory data (PBE-GGA) for a relaxed BaTa2Ag crystal.

Lattice parameters (Å, degrees): 3.4699 3.4982 8.9581 66.99 90.00 90.00
With the nearest neighbours (Å) after each atom.
Atoms (fractional coordinates):
Ta: 0.5000 0.2695 0.2305  4 Ta 2.76, 4 Ag 3.01
Ta: 0.0000 0.9203 0.0796  4 Ta 2.76, 1 Ag 2.97
Ba: 0.5000 0.7495 0.7504  4 Ba 3.47-3.50, 4 Ag 3.56, 4 Ta 3.66-3.67
Ag: 0.0000 0.5607 0.4395  5 Ta 2.97-3.01

density: 10.1 g/cm³
total moment: 0.0 μB per formula unit
E_tot: -6.62 eV/atom
energy relative to the elements: 0.499 eV/atom
SG: Pmm2
energy above the most stable polymorph in this dataset: 0 meV/atom

Record 6
Density functional theory data (PBE-GGA) for a relaxed Ba2TaAg crystal.

Lattice parameters (Å, degrees): 3.5173 3.5167 10.6759 70.82 90.00 90.00
With the nearest neighbours (Å) after each atom.
Atoms (fractional coordinates):
Ta: 0.5000 0.2500 0.2500  4 Ta 3.52, 8 Ba 3.56
Ba: 0.0000 0.4969 0.5031  4 Ba 3.52, 4 Ag 3.52, 4 Ta 3.56
Ag: 0.5000 0.7500 0.7500  4 Ag 3.52, 8 Ba 3.52
Ba: 0.0000 0.0031 0.9969  4 Ba 3.52, 4 Ag 3.52, 4 Ta 3.56

density: 7.5 g/cm³
total moment: 0.0 μB per formula unit
E_tot: -3.92 eV/atom
energy relative to the elements: 0.716 eV/atom
SG: P2/m
energy above the most stable polymorph in this dataset: 94 meV/atom

Record 7
Density functional theory data (PBE-GGA) for a relaxed BaTaAg2 crystal.

Lattice parameters (Å, degrees): 6.2952 6.2952 6.2952 149.92 128.04 61.22
With the nearest neighbours (Å) after each atom.
Atoms (fractional coordinates):
Ba: 0.7500 0.2500 0.5000  4 Ta 3.21, 2 Ba 3.27, 4 Ag 3.48
Ag: 0.0333 0.0333 0.0000  2 Ta 2.86
Ta: 0.2500 0.7500 0.5000  4 Ag 2.86
Ag: 0.4667 0.4667 0.0000  2 Ta 2.86

density: 9.1 g/cm³
total moment: 0.0 μB per formula unit
E_tot: -4.09 eV/atom
energy relative to the elements: 0.775 eV/atom
SG: Immm
energy above the most stable polymorph in this dataset: 349 meV/atom

Record 8
Density functional theory data (PBE-GGA) for a relaxed BaTaAg crystal.

Lattice parameters (Å, degrees): 3.2246 3.2246 8.2714 90.00 90.00 120.00
With the nearest neighbours (Å) after each atom.
Atoms (fractional coordinates):
Ta: 0.3333 0.6667 0.6981  3 Ag 2.90, 6 Ta 3.22
Ag: 0.0000 0.0000 0.9677  3 Ta 2.90, 6 Ag 3.22
Ba: 0.6667 0.3333 0.3342  6 Ba 3.22, 3 Ta 3.54, 3 Ag 3.56

density: 9.5 g/cm³
total moment: 0.0 μB per formula unit
E_tot: -4.65 eV/atom
energy relative to the elements: 0.888 eV/atom
SG: P3m1
energy above the most stable polymorph in this dataset: 559 meV/atom

Record 9
Density functional theory data (PBE-GGA) for a relaxed BaTa2Ag crystal.

Lattice parameters (Å, degrees): 5.2687 4.2485 4.2485 90.00 90.00 90.00
With the nearest neighbours (Å) after each atom.
Atoms (fractional coordinates):
Ta: 0.0000 0.5000 0.5000  4 Ta 3.00
Ba: 0.5000 0.0000 0.5000  4 Ag 3.00
Ag: 0.5000 0.5000 0.0000  4 Ba 3.00
Ta: 0.0000 0.0000 0.0000  4 Ta 3.00

density: 10.6 g/cm³
total moment: 1.2 μB per formula unit
E_tot: -5.98 eV/atom
energy relative to the elements: 1.135 eV/atom
SG: P4/mmm
energy above the most stable polymorph in this dataset: 636 meV/atom

Record 10
Density functional theory data (PBE-GGA) for a relaxed Ba2TaAg crystal.

Lattice parameters (Å, degrees): 6.5128 6.5128 6.5128 135.59 135.59 64.62
With the nearest neighbours (Å) after each atom.
Atoms (fractional coordinates):
Ba: 0.2500 0.7500 0.5000  4 Ag 3.48, 4 Ta 3.69, 4 Ba 3.69
Ta: 0.5000 0.5000 0.0000  8 Ba 3.48-3.69, 4 Ag 3.69
Ba: 0.0000 0.0000 0.0000  4 Ta 3.48, 4 Ba 3.69, 4 Ag 3.69
Ag: 0.7500 0.2500 0.5000  8 Ba 3.48-3.69, 4 Ta 3.69

density: 7.0 g/cm³
total moment: 3.5 μB per formula unit
E_tot: -3.71 eV/atom
energy relative to the elements: 0.928 eV/atom
SG: I-4m2
energy above the most stable polymorph in this dataset: 306 meV/atom

Record 11
Density functional theory data (PBE-GGA) for a relaxed BaTaAg2 crystal.

Lattice parameters (Å, degrees): 10.7844 10.7844 10.7844 16.78 16.78 16.78
With the nearest neighbours (Å) after each atom.
Atoms (fractional coordinates):
Ba: 0.2500 0.2500 0.2500  6 Ba 3.15, 6 Ag 3.52
Ag: 0.0113 0.0113 0.0113  3 Ta 2.93, 6 Ag 3.15
Ta: 0.7500 0.7500 0.7500  6 Ag 2.93, 6 Ta 3.15
Ag: 0.4887 0.4887 0.4887  3 Ta 2.93, 6 Ag 3.15

density: 9.7 g/cm³
total moment: 0.0 μB per formula unit
E_tot: -4.22 eV/atom
energy relative to the elements: 0.645 eV/atom
SG: R-3m
energy above the most stable polymorph in this dataset: 218 meV/atom

Record 12
Density functional theory data (PBE-GGA) for a relaxed BaTa2Ag crystal.

Lattice parameters (Å, degrees): 3.1005 5.2344 5.6769 90.00 90.00 90.00
With the nearest neighbours (Å) after each atom.
Atoms (fractional coordinates):
Ag: 0.5000 0.0000 0.5000  4 Ba 3.04, 2 Ag 3.10, 4 Ta 3.23
Ta: 0.0000 0.0000 0.0000  6 Ta 3.04-3.10, 4 Ag 3.23
Ba: 0.0000 0.5000 0.5000  4 Ag 3.04, 2 Ba 3.10, 4 Ta 3.23
Ta: 0.5000 0.5000 0.0000  6 Ta 3.04-3.10, 4 Ba 3.23

density: 10.9 g/cm³
total moment: 0.0 μB per formula unit
E_tot: -6.17 eV/atom
energy relative to the elements: 0.951 eV/atom
SG: Pmmm
energy above the most stable polymorph in this dataset: 452 meV/atom

Record 13
Density functional theory data (PBE-GGA) for a relaxed BaTaAg2 crystal.

Lattice parameters (Å, degrees): 5.4536 5.4536 3.1893 90.00 90.00 90.00
With the nearest neighbours (Å) after each atom.
Atoms (fractional coordinates):
Ag: 0.5000 0.5000 0.0000  4 Ba 3.16, 4 Ta 3.16, 2 Ag 3.19
Ag: 0.0000 0.0000 0.0000  4 Ba 3.16, 4 Ta 3.16, 2 Ag 3.19
Ta: 0.0000 0.5000 0.5000  8 Ag 3.16, 2 Ta 3.19
Ba: 0.5000 0.0000 0.5000  8 Ag 3.16, 2 Ba 3.19

density: 9.3 g/cm³
total moment: 1.6 μB per formula unit
E_tot: -4.23 eV/atom
energy relative to the elements: 0.641 eV/atom
SG: P4/mmm
energy above the most stable polymorph in this dataset: 215 meV/atom

Record 14
Density functional theory data (PBE-GGA) for a relaxed BaTaAg crystal.

Lattice parameters (Å, degrees): 6.6797 6.6797 6.6797 153.04 142.86 46.49
With the nearest neighbours (Å) after each atom.
Atoms (fractional coordinates):
Ag: 0.9596 0.9596 0.0000  4 Ta 2.81, 2 Ag 3.11
Ba: 0.6604 0.6604 0.0000  2 Ba 3.11, 1 Ta 3.44
Ta: 0.3800 0.3800 0.0000  4 Ag 2.81, 2 Ta 3.11

density: 8.7 g/cm³
total moment: 0.0 μB per formula unit
E_tot: -4.74 eV/atom
energy relative to the elements: 0.800 eV/atom
SG: Imm2
energy above the most stable polymorph in this dataset: 470 meV/atom

Record 15
Density functional theory data (PBE-GGA) for a relaxed Ba2TaAg crystal.

Lattice parameters (Å, degrees): 3.6502 3.6502 9.9731 90.00 90.00 90.00
With the nearest neighbours (Å) after each atom.
Atoms (fractional coordinates):
Ta: 0.0000 0.0000 0.5667  4 Ag 2.85
Ba: 0.0000 0.0000 0.9262  4 Ag 3.51, 1 Ta 3.58, 4 Ba 3.65
Ag: 0.5000 0.5000 0.6873  4 Ta 2.85
Ba: 0.5000 0.5000 0.3198  4 Ta 3.57, 4 Ba 3.65, 1 Ag 3.67

density: 7.0 g/cm³
total moment: 0.6 μB per formula unit
E_tot: -4.02 eV/atom
energy relative to the elements: 0.622 eV/atom
SG: P4mm
energy above the most stable polymorph in this dataset: 0 meV/atom